# Ni15Cl16, relaxed, DFT GGA-PBE
# Formation energy (no corrections) (eV per atom): 0.009
# Magnetization (μB/atom): 0.52
# Density (Mg/m³): 4.9
# Energy (eV per atom): -3.74
data_Ni15Cl16
_symmetry_space_group_name_H-M 'I m -3 m'
_symmetry_Int_Tables_number 229
_symmetry_space_group_name_Hall '-I 4 2 3'
_cell_length_a 9.966
_cell_length_b 9.966
_cell_length_c 9.966
_cell_angle_alpha 90.00
_cell_angle_beta 90.00
_cell_angle_gamma 90.00
loop_
_atom_site_label
_atom_site_type_symbol
_atom_site_fract_x
_atom_site_fract_y
_atom_site_fract_z
Ni1 Ni 0.000 0.000 0.500
Ni2 Ni 0.000 0.245 0.245
Cl1 Cl 0.000 0.000 0.262
Cl2 Cl 0.000 0.250 0.500
Cl3 Cl 0.250 0.250 0.250